An optimized crystal structure of Ba2LaBr2O2, computed with PBE.

a = 4.7321 Å, b = 4.7321 Å, c = 17.0298 Å
α = 90.00°, β = 90.00°, γ = 90.00°
Closest atoms and distances in Å follow each position.
Space group I4/mmm (No. 139)
Inequivalent atoms, fractional coordinates:
Ba (0.0000, 0.0000, 0.1103) x4  4 O 3.02
La (0.0000, 0.0000, 0.5000) x2  4 O 2.37
Br (0.0000, 0.0000, 0.3139) x4  1 La 3.17, 1 Ba 3.47
O (0.0000, 0.5000, 0.0000) x4  2 La 2.37

Output
For the uncorrected formation energy, the calculation gives -2348 meV per atom.